# 1
## AgIrCl2 (PBE-GGA)

Data for a relaxed structure of AgIrCl2.

Cell and atoms, written as CIF:
```
data_AgIrCl2
_cell_length_a 3.222
_cell_length_b 3.222
_cell_length_c 9.843
_cell_angle_alpha 90.00
_cell_angle_beta 90.00
_cell_angle_gamma 120.58
_symmetry_space_group_name_H-M 'P 1'
_symmetry_Int_Tables_number 1
loop_
_symmetry_equiv_pos_as_xyz
'x,y,z'
loop_
_atom_site_label
_atom_site_type_symbol
_atom_site_fract_x
_atom_site_fract_y
_atom_site_fract_z
Ag1 Ag 0.000 0.000 0.000
Ir1 Ir 0.000 0.000 0.500
Cl1 Cl 0.500 0.500 0.324
Cl2 Cl 0.500 0.500 0.676
```

Properties
The calculation puts the magnetic moment at 0.0 Bohr magnetons per cell. The space group is No. 65. The calculation puts the formation energy without anion corrections at 7.6 kcal/mol of atoms.

***

# 2
## Y2SnI (PBE-GGA)

Data for a relaxed structure of Y2SnI.

Cell and atoms, written as CIF:
```
data_Y2SnI
_cell_length_a 8.099
_cell_length_b 8.099
_cell_length_c 8.099
_cell_angle_alpha 31.42
_cell_angle_beta 31.42
_cell_angle_gamma 31.42
_symmetry_space_group_name_H-M 'P 1'
_symmetry_Int_Tables_number 1
loop_
_symmetry_equiv_pos_as_xyz
'x,y,z'
loop_
_atom_site_label
_atom_site_type_symbol
_atom_site_fract_x
_atom_site_fract_y
_atom_site_fract_z
Y1 Y 0.000 0.000 0.000
Y2 Y 0.195 0.195 0.195
Sn1 Sn 0.596 0.596 0.596
I1 I 0.766 0.766 0.766
```

Properties
The calculation puts the magnetic moment at 0.0 Bohr magnetons per cell. The space group is No. 160. The calculation puts the formation energy without anion corrections at -17.3 kcal/mol of atoms.

***

# 3
## PrAgPd (PBE-GGA)

Data for a relaxed structure of PrAgPd.

Cell and atoms, written as CIF:
```
data_PrAgPd
_cell_length_a 7.777
_cell_length_b 7.777
_cell_length_c 7.777
_cell_angle_alpha 156.79
_cell_angle_beta 156.79
_cell_angle_gamma 33.06
_symmetry_space_group_name_H-M 'P 1'
_symmetry_Int_Tables_number 1
loop_
_symmetry_equiv_pos_as_xyz
'x,y,z'
loop_
_atom_site_label
_atom_site_type_symbol
_atom_site_fract_x
_atom_site_fract_y
_atom_site_fract_z
Pr1 Pr 0.000 0.000 0.000
Ag1 Ag 0.206 0.206 0.000
Pd1 Pd 0.822 0.822 0.000
```

Properties
The calculation puts the magnetic moment at 0.0 Bohr magnetons per cell. The space group is No. 107. As for the formation energy: 0.27 eV per atom.

***

Calculated ΔE to the lowest computed polymorph in order - 294; 0; 853 meV per atom